Entry 1:
This record from Alexandria via LeMat-Bulk describes a geometry-optimized CaPrTlIn structure. The functional is GGA-PBE.

```
4
Lattice="4.4771 0.0000 0.0000 0.0000 5.1087 0.0000 0.0000 0.0000 5.1331" Properties=species:S:1:pos:R:3 pbc="T T T"
Ca 0.0000 0.0000 0.0000
Pr 0.0000 2.5544 2.5665
Tl 2.2385 2.5544 0.0000
In 2.2385 0.0000 2.5665
```

Summary:
E   -3.41 eV per atom
Energy of formation   -0.439 eV/atom
Polymorph energy (0 for the lowest one)   0 meV per atom


Entry 2:
This record from Alexandria via LeMat-Bulk describes a geometry-optimized BaPbSCl2 structure. The functional is GGA-PBE.

```
5
Lattice="5.4854 0.0000 0.0000 0.0000 5.4854 0.0000 0.0000 0.0000 5.7038" Properties=species:S:1:pos:R:3 pbc="T T T"
Ba 0.0000 0.0000 0.0000
Pb 2.7427 2.7427 2.8519
S 2.7427 2.7427 0.0000
Cl 0.0000 2.7427 2.8519
Cl 2.7427 0.0000 2.8519
```

Summary:
E   -3.98 eV per atom
Polymorph energy (0 for the lowest one)   0 meV per atom


Entry 3:
This record from Alexandria via LeMat-Bulk describes a geometry-optimized ThFeAu structure. The functional is GGA-PBE.

```
6
Lattice="1.9887 -8.2640 0.0000 1.9887 8.2640 0.0000 0.0000 0.0000 3.8208" Properties=species:S:1:pos:R:3 pbc="T T T"
Th 1.9887 6.5497 2.8656
Th 1.9887 -6.5497 0.9552
Fe 1.9887 0.5506 2.8656
Fe 1.9887 -0.5506 0.9552
Au 1.9887 3.3379 2.8656
Au 1.9887 -3.3379 0.9552
```

Summary:
E   -6.75 eV per atom
Energy of formation   -0.364 eV/atom